A relaxed structure of YbBe13. Source: Alexandria via LeMat-Bulk, functional PBE.

```
YbBe13
1.0
0.0000 5.0909 5.0909
5.0909 0.0000 5.0909
5.0909 5.0909 0.0000
Yb Be
2 26
direct
0.2500 0.2500 0.2500
0.7500 0.7500 0.7500
0.0000 0.0000 0.0000
0.0639 0.2900 0.7100
0.0639 0.7100 0.9361
0.0639 0.9361 0.2900
0.2100 0.4361 0.7900
0.2100 0.5639 0.4361
0.2100 0.7900 0.5639
0.2900 0.0639 0.9361
0.2900 0.7100 0.0639
0.2900 0.9361 0.7100
0.4361 0.2100 0.5639
0.4361 0.5639 0.7900
0.4361 0.7900 0.2100
0.5000 0.5000 0.5000
0.5639 0.2100 0.7900
0.5639 0.4361 0.2100
0.5639 0.7900 0.4361
0.7100 0.0639 0.2900
0.7100 0.2900 0.9361
0.7100 0.9361 0.0639
0.7900 0.2100 0.4361
0.7900 0.4361 0.5639
0.7900 0.5639 0.2100
0.9361 0.0639 0.7100
0.9361 0.2900 0.0639
0.9361 0.7100 0.2900
```

Properties
Energy   -3.714 eV per atom

A relaxed structure of YbBe6. Source: Alexandria via LeMat-Bulk, functional PBE.

```
YbBe6
1.0
-2.8406 2.8406 2.8406
2.8406 -2.8406 2.8406
2.8406 2.8406 -2.8406
Yb Be
1 6
direct
0.0000 0.0000 0.0000
0.2500 0.5000 0.7500
0.2500 0.7500 0.5000
0.5000 0.2500 0.7500
0.5000 0.7500 0.2500
0.7500 0.2500 0.5000
0.7500 0.5000 0.2500
```

Properties
Energy   -2.826 eV per atom

A relaxed structure of Be5Zn4. Source: Alexandria via LeMat-Bulk, functional PBE.

```
Be5Zn4
1.0
6.8393 0.0000 0.0000
-3.4196 5.9230 0.0000
0.0000 0.0000 5.0065
Be Zn
10 8
direct
0.0000 0.3311 0.2500
0.0000 0.6689 0.7500
0.3311 0.0000 0.2500
0.3311 0.3311 0.7500
0.3333 0.6667 0.0000
0.3333 0.6667 0.5000
0.6667 0.3333 0.0000
0.6667 0.3333 0.5000
0.6689 0.0000 0.7500
0.6689 0.6689 0.2500
0.0000 0.0000 0.0000
0.0000 0.0000 0.5000
0.0000 0.3458 0.7500
0.0000 0.6542 0.2500
0.3458 0.0000 0.7500
0.3458 0.3458 0.2500
0.6542 0.0000 0.2500
0.6542 0.6542 0.7500
```

Properties
ΔE to the lowest computed polymorph   105 meV/atom

Number 1: total magnetic moment 0.013 μB per atom. Number 2: total magnetic moment 0.000 μB per atom. Number 3: total magnetic moment 0.000 μB per atom.